No. 1
PaGaSi after structural relaxation. Source: the Alexandria database, functional PBE.

Calculated values
- ΔE_f (raw) (eV per atom) = -0.078
- SG = No. 69
- crystal system = orthorhombic

Unit cell a=4.624 b=4.117 c=8.597 alpha=81.31 beta=74.40 gamma=55.84
Atoms (fractional coordinates):
1 Si 0.169 0.662 0.000
2 Si 0.831 0.338 0.000
3 Ga 0.250 0.500 0.500
4 Ga 0.750 0.500 0.500
5 Pa 0.606 0.000 0.788
6 Pa 0.394 0.000 0.212

=====

No. 2
CaHg3Au3 after structural relaxation. Source: the Alexandria database, functional PBE.

Calculated values
- ΔH_f (0 K) (meV per atom) = 173.6
- SG = No. 223
- crystal system = cubic

Unit cell a=7.692 b=7.692 c=7.692 alpha=90.00 beta=90.00 gamma=90.00
Atoms (fractional coordinates):
1 Hg 0.500 0.250 0.000
2 Hg 0.750 0.000 0.500
3 Hg 0.000 0.500 0.250
4 Hg 0.250 0.000 0.500
5 Hg 0.500 0.750 0.000
6 Hg 0.000 0.500 0.750
7 Ca 0.000 0.000 0.000
8 Ca 0.500 0.500 0.500
9 Au 0.000 0.250 0.500
10 Au 0.750 0.500 0.000
11 Au 0.250 0.500 0.000
12 Au 0.000 0.750 0.500
13 Au 0.500 0.000 0.750
14 Au 0.500 0.000 0.250

=====

No. 3
MnGa3Co2 after structural relaxation. Source: the Alexandria database, functional PBE.

Calculated values
- ΔH_f (0 K) (meV per atom) = -223.4
- SG = No. 123
- crystal system = tetragonal

Unit cell a=2.816 b=2.816 c=9.404 alpha=90.00 beta=90.00 gamma=90.00
Each line ends with the local moment (μB).
Atoms (fractional coordinates):
1 Ga 0.000 0.000 0.000  0.00
2 Ga 0.000 0.000 0.681  -0.06
3 Ga 0.000 0.000 0.319  -0.06
4 Co 0.500 0.500 0.841  -0.06
5 Co 0.500 0.500 0.159  -0.06
6 Mn 0.500 0.500 0.500  2.49

=====

No. 4
Mn2WI after structural relaxation. Source: the Alexandria database, functional PBE.

Calculated values
- ΔE_f (raw) (eV per atom) = 1.154
- SG = No. 225
- crystal system = cubic

Unit cell a=4.522 b=4.522 c=4.522 alpha=60.00 beta=60.00 gamma=60.00
Each line ends with the local moment (μB).
Atoms (fractional coordinates):
1 W 0.500 0.500 0.500  -0.96
2 I 0.000 0.000 0.000  -0.02
3 Mn 0.750 0.750 0.750  2.48
4 Mn 0.250 0.250 0.250  2.48

=====

No. 5
Ba2Cd3 after structural relaxation. Source: the Alexandria database, functional PBE.

Calculated values
- ΔH_f (0 K) (meV per atom) = -258.9
- SG = No. 166
- crystal system = trigonal

Unit cell a=8.629 b=8.629 c=8.629 alpha=35.43 beta=35.43 gamma=35.43
Atoms (fractional coordinates):
1 Ba 0.585 0.585 0.585
2 Ba 0.415 0.415 0.415
3 Cd 0.000 0.000 0.000
4 Cd 0.164 0.164 0.164
5 Cd 0.836 0.836 0.836

=====

No. 6
Na3MnIn3Br8 after structural relaxation. Source: the Alexandria database, functional PBE.

Calculated values
- ΔE_f (raw) (eV per atom) = -1.030
- SG = No. 12
- crystal system = monoclinic

Unit cell a=8.642 b=8.648 c=9.182 alpha=118.13 beta=90.00 gamma=119.97
Each line ends with the local moment (μB).
Atoms (fractional coordinates):
1 In 0.000 0.000 0.000  0.00
2 In 0.500 0.500 0.000  0.00
3 In 0.000 0.500 0.000  0.00
4 Na 0.500 0.500 0.500  0.00
5 Na 0.500 0.000 0.500  0.00
6 Na 0.000 0.500 0.500  0.00
7 Br 0.218 0.983 0.700  0.03
8 Br 0.739 0.477 0.715  0.00
9 Br 0.218 0.435 0.700  0.03
10 Br 0.261 0.523 0.285  0.00
11 Br 0.235 0.017 0.300  0.03
12 Br 0.765 0.983 0.700  0.03
13 Br 0.782 0.565 0.300  0.03
14 Br 0.782 0.017 0.300  0.03
15 Mn 0.000 0.000 0.500  4.41

=====

No. 7
ScMo3 after structural relaxation. Source: the Alexandria database, functional PBE.

Calculated values
- ΔH_f (0 K) (meV per atom) = 118.9
- SG = No. 63
- crystal system = orthorhombic

Unit cell a=5.621 b=5.621 c=4.485 alpha=90.00 beta=90.00 gamma=108.29
Atoms (fractional coordinates):
1 Mo 0.105 0.358 0.250
2 Mo 0.895 0.642 0.750
3 Mo 0.358 0.105 0.750
4 Mo 0.642 0.895 0.250
5 Mo 0.874 0.126 0.750
6 Mo 0.126 0.874 0.250
7 Sc 0.380 0.620 0.750
8 Sc 0.620 0.380 0.250

=====

No. 8
B2Mo2Ru after structural relaxation. Source: the Alexandria database, functional PBE.

Calculated values
- ΔH_f (0 K) (meV per atom) = -391.1
- SG = No. 58
- crystal system = orthorhombic

Unit cell a=3.095 b=7.543 c=9.626 alpha=90.00 beta=90.00 gamma=90.00
Atoms (fractional coordinates):
1 B 0.000 0.613 0.040
2 B 0.500 0.887 0.540
3 B 0.500 0.121 0.267
4 B 0.500 0.879 0.733
5 B 0.500 0.113 0.460
6 B 0.000 0.621 0.233
7 B 0.000 0.387 0.960
8 B 0.000 0.379 0.767
9 Ru 0.000 0.118 0.108
10 Ru 0.500 0.382 0.608
11 Ru 0.500 0.618 0.392
12 Ru 0.000 0.882 0.892
13 Mo 0.000 0.922 0.361
14 Mo 0.500 0.578 0.861
15 Mo 0.500 0.806 0.130
16 Mo 0.000 0.694 0.630
17 Mo 0.500 0.194 0.870
18 Mo 0.500 0.422 0.139
19 Mo 0.000 0.306 0.370
20 Mo 0.000 0.078 0.639

=====

No. 9
Ho5Cd2 after structural relaxation. Source: the Alexandria database, functional PBE.

Calculated values
- ΔH_f (0 K) (meV per atom) = -114.7
- SG = No. 15
- crystal system = monoclinic

Unit cell a=7.350 b=6.817 c=8.845 alpha=90.01 beta=114.55 gamma=90.00
Atoms (fractional coordinates):
1 Ho 0.062 0.999 0.811
2 Ho 0.938 0.001 0.189
3 Ho 0.499 0.250 0.000
4 Ho 0.270 0.750 0.542
5 Ho 0.252 0.501 0.189
6 Ho 0.728 0.750 0.458
7 Ho 0.748 0.499 0.811
8 Ho 0.730 0.250 0.458
9 Ho 0.272 0.250 0.542
10 Ho 0.501 0.750 0.000
11 Cd 0.357 0.001 0.229
12 Cd 0.872 0.501 0.229
13 Cd 0.128 0.499 0.771
14 Cd 0.643 0.999 0.771

=====

No. 10
OsSN2F after structural relaxation. Source: the Alexandria database, functional PBE.

Calculated values
- ΔE_f (raw) (eV per atom) = 1.954
- SG = No. 123
- crystal system = tetragonal

Unit cell a=3.807 b=3.807 c=3.704 alpha=90.00 beta=90.00 gamma=90.00
Each line ends with the local moment (μB).
Atoms (fractional coordinates):
1 N 0.000 0.500 0.000  -0.01
2 N 0.500 0.000 0.000  -0.01
3 Os 0.500 0.500 0.500  2.03
4 F 0.000 0.000 0.500  0.06
5 S 0.000 0.000 0.000  0.02

=====

No. 11
Rb2ZrTe2Se6 after structural relaxation. Source: the Alexandria database, functional PBE.

Calculated values
- ΔE_f (raw) (eV per atom) = -0.668
- SG = No. 12
- crystal system = monoclinic

Unit cell a=7.627 b=9.075 c=7.645 alpha=115.81 beta=90.00 gamma=114.85
Atoms (fractional coordinates):
1 Se 0.666 0.822 0.218
2 Se 0.844 0.178 0.782
3 Se 0.324 0.649 0.385
4 Se 0.334 0.178 0.782
5 Se 0.156 0.822 0.218
6 Se 0.676 0.351 0.615
7 Zr 0.500 0.000 0.500
8 Te 0.019 0.038 0.205
9 Te 0.981 0.962 0.795
10 Rb 0.274 0.547 0.783
11 Rb 0.726 0.453 0.217

=====

No. 12
PaVSnW after structural relaxation. Source: the Alexandria database, functional PBE.

Calculated values
- ΔH_f (0 K) (meV per atom) = 479.0
- SG = No. 216
- crystal system = cubic

Unit cell a=4.829 b=4.829 c=4.829 alpha=60.00 beta=60.00 gamma=60.00
Atoms (fractional coordinates):
1 Sn 0.000 0.000 0.000
2 W 0.500 0.500 0.500
3 V 0.750 0.750 0.750
4 Pa 0.250 0.250 0.250

=====

No. 13
AsCS2 after structural relaxation. Source: the Alexandria database, functional PBE.

Calculated values
- ΔE_f (raw) (eV per atom) = 0.525
- SG = No. 5
- crystal system = monoclinic

Unit cell a=3.990 b=5.877 c=7.533 alpha=90.00 beta=122.72 gamma=90.00
Atoms (fractional coordinates):
1 C 0.500 0.437 0.000
2 C 0.500 0.937 0.500
3 As 0.500 0.278 0.500
4 As 0.500 0.778 0.000
5 S 0.723 0.773 0.725
6 S 0.277 0.273 0.775
7 S 0.723 0.273 0.225
8 S 0.277 0.773 0.275

=====

No. 14
GdDyBiAu after structural relaxation. Source: the Alexandria database, functional PBE.

Calculated values
- ΔH_f (0 K) (meV per atom) = -679.0
- SG = No. 216
- crystal system = cubic

Unit cell a=5.313 b=5.313 c=5.313 alpha=60.00 beta=60.00 gamma=60.00
Each line ends with the local moment (μB).
Atoms (fractional coordinates):
1 Bi 0.500 0.500 0.500  -0.04
2 Dy 0.750 0.750 0.750  0.35
3 Au 0.000 0.000 0.000  0.04
4 Gd 0.250 0.250 0.250  7.25

=====

No. 15
BiRh5 after structural relaxation. Source: the Alexandria database, functional PBE.

Calculated values
- ΔH_f (0 K) (meV per atom) = 57.8
- SG = No. 65
- crystal system = orthorhombic

Unit cell a=3.970 b=3.989 c=6.271 alpha=108.55 beta=90.00 gamma=90.00
Atoms (fractional coordinates):
1 Rh 0.000 0.329 0.659
2 Rh 0.000 0.671 0.341
3 Rh 0.500 0.174 0.349
4 Rh 0.500 0.500 0.000
5 Rh 0.500 0.826 0.651
6 Bi 0.000 0.000 0.000

=====

No. 16
BaDySb2 after structural relaxation. Source: the Alexandria database, functional PBE.

Calculated values
- ΔE_f (raw) (eV per atom) = -0.937
- SG = No. 166
- crystal system = trigonal

Unit cell a=4.674 b=4.674 c=8.168 alpha=73.37 beta=73.37 gamma=60.00
Atoms (fractional coordinates):
1 Ba 0.500 0.500 0.500
2 Sb 0.265 0.265 0.206
3 Sb 0.735 0.735 0.794
4 Dy 0.000 0.000 0.000

=====

No. 17
Sr3Ga2Ag3 after structural relaxation. Source: the Alexandria database, functional PBE.

Calculated values
- ΔH_f (0 K) (meV per atom) = -341.3
- SG = No. 63
- crystal system = orthorhombic

Unit cell a=4.826 b=6.185 c=15.784 alpha=90.00 beta=90.00 gamma=112.96
Atoms (fractional coordinates):
1 Sr 0.906 0.812 0.396
2 Sr 0.613 0.226 0.250
3 Sr 0.387 0.774 0.750
4 Sr 0.094 0.188 0.896
5 Sr 0.094 0.188 0.604
6 Sr 0.906 0.812 0.104
7 Ga 0.201 0.403 0.097
8 Ga 0.799 0.597 0.903
9 Ga 0.799 0.597 0.597
10 Ga 0.201 0.403 0.403
11 Ag 0.377 0.755 0.539
12 Ag 0.623 0.245 0.039
13 Ag 0.311 0.621 0.250
14 Ag 0.689 0.379 0.750
15 Ag 0.377 0.755 0.961
16 Ag 0.623 0.245 0.461

=====

No. 18
TmTh4Hg5 after structural relaxation. Source: the Alexandria database, functional PBE.

Calculated values
- ΔH_f (0 K) (meV per atom) = -271.1
- SG = No. 123
- crystal system = tetragonal

Unit cell a=3.469 b=3.469 c=22.282 alpha=90.00 beta=90.00 gamma=90.00
Atoms (fractional coordinates):
1 Hg 0.500 0.500 0.500
2 Hg 0.500 0.500 0.089
3 Hg 0.500 0.500 0.705
4 Hg 0.500 0.500 0.911
5 Hg 0.500 0.500 0.295
6 Th 0.000 0.000 0.193
7 Th 0.000 0.000 0.603
8 Th 0.000 0.000 0.397
9 Th 0.000 0.000 0.807
10 Tm 0.000 0.000 0.000

=====

No. 19
Li3Be2Pt3 after structural relaxation. Source: the Alexandria database, functional PBE.

Calculated values
- ΔH_f (0 K) (meV per atom) = -681.4
- SG = No. 189
- crystal system = hexagonal

Unit cell a=2.759 b=6.513 c=6.513 alpha=120.00 beta=90.00 gamma=90.00
Atoms (fractional coordinates):
1 Li 0.000 0.000 0.240
2 Li 0.000 0.760 0.760
3 Li 0.000 0.240 0.000
4 Be 0.000 0.333 0.667
5 Be 0.000 0.667 0.333
6 Pt 0.500 0.000 0.588
7 Pt 0.500 0.588 0.000
8 Pt 0.500 0.412 0.412

=====

No. 20
KIn4Ir after structural relaxation. Source: the Alexandria database, functional PBE.

Calculated values
- ΔH_f (0 K) (meV per atom) = 458.2
- SG = No. 216
- crystal system = cubic

Unit cell a=5.980 b=5.980 c=5.980 alpha=60.00 beta=60.00 gamma=60.00
Atoms (fractional coordinates):
1 Ir 0.750 0.750 0.750
2 In 0.376 0.376 0.872
3 In 0.872 0.376 0.376
4 In 0.376 0.376 0.376
5 In 0.376 0.872 0.376
6 K 0.000 0.000 0.000

=====

No. 21
Ca2MgHIr after structural relaxation. Source: the Alexandria database, functional PBE.

Calculated values
- uncorrected energy (eV per atom) = -3.8005
- SG = No. 123
- crystal system = tetragonal

Unit cell a=5.079 b=5.079 c=3.744 alpha=90.00 beta=90.00 gamma=90.00
Atoms (fractional coordinates):
1 Ca 0.500 0.000 0.000
2 Ca 0.000 0.500 0.000
3 Ir 0.000 0.000 0.500
4 H 0.000 0.000 0.000
5 Mg 0.500 0.500 0.500

=====

No. 22
Nd3Bi2Se after structural relaxation. Source: the Alexandria database, functional PBE.

Calculated values
- ΔE_f (raw) (eV per atom) = -1.227
- SG = No. 71
- crystal system = orthorhombic

Unit cell a=6.382 b=8.977 c=7.769 alpha=106.80 beta=114.25 gamma=90.00
Atoms (fractional coordinates):
1 Bi 0.329 0.915 0.659
2 Bi 0.671 0.585 0.341
3 Bi 0.329 0.415 0.659
4 Bi 0.671 0.085 0.341
5 Nd 0.500 0.750 0.000
6 Nd 0.157 0.078 0.313
7 Nd 0.157 0.578 0.313
8 Nd 0.843 0.922 0.687
9 Nd 0.843 0.422 0.687
10 Nd 0.500 0.250 0.000
11 Se 0.000 0.750 0.000
12 Se 0.000 0.250 0.000

=====

No. 23
ZrAs2Rh after structural relaxation. Source: the Alexandria database, functional PBE.

Calculated values
- ΔH_f (0 K) (meV per atom) = -641.9
- SG = No. 123
- crystal system = tetragonal

Unit cell a=4.518 b=4.518 c=3.312 alpha=90.00 beta=90.00 gamma=90.00
Atoms (fractional coordinates):
1 Rh 0.500 0.000 0.500
2 As 0.000 0.000 0.000
3 As 0.500 0.500 0.000
4 Zr 0.000 0.500 0.500

=====

No. 24
ScPt2Cl after structural relaxation. Source: the Alexandria database, functional PBE.

Calculated values
- ΔE_f (raw) (eV per atom) = -0.618
- SG = No. 44
- crystal system = orthorhombic

Unit cell a=7.290 b=7.290 c=7.290 alpha=155.16 beta=142.60 gamma=45.42
Atoms (fractional coordinates):
1 Pt 0.633 0.133 0.500
2 Pt 0.056 0.056 0.000
3 Sc 0.477 0.477 0.000
4 Cl 0.334 0.834 0.500

=====

| no. | M_tot (μB per formula unit) |
| --- | --- |
| 1 | 0.00 |
| 2 | 0.00 |
| 3 | 2.30 |
| 4 | 3.81 |
| 5 | 0.00 |
| 6 | 5.00 |
| 7 | 0.00 |
| 8 | 0.00 |
| 9 | 0.00 |
| 10 | 2.27 |
| 11 | 0.00 |
| 12 | 0.00 |
| 13 | 0.00 |
| 14 | 8.10 |
| 15 | 0.00 |
| 16 | 0.00 |
| 17 | 0.00 |
| 18 | 0.00 |
| 19 | 0.00 |
| 20 | 0.00 |
| 21 | 0.00 |
| 22 | 0.00 |
| 23 | 0.00 |
| 24 | 0.00 |